Sr2Al7Ag | PBE | relaxed

Unit cell a=4.4098 b=4.4098 c=11.4211 alpha=90.00 beta=90.00 gamma=90.00
Closest atoms and distances in Å follow each position.
Positions (direct):
Sr (0.0000, 0.5000, 0.2494)  14 Al 3.37-3.61, 2 Ag 3.61
Sr (0.5000, 0.0000, 0.7506)  14 Al 3.37-3.61, 2 Ag 3.61
Al (0.0000, 0.0000, 0.0000)  4 Al 2.70
Al (0.0000, 0.5000, 0.6325)  3 Al 2.63-2.67, 2 Ag 2.67
Al (0.0000, 0.5000, 0.8628)  5 Al 2.63-2.70
Al (0.5000, 0.0000, 0.1372)  5 Al 2.63-2.70
Al (0.5000, 0.0000, 0.3675)  3 Al 2.63-2.67, 2 Ag 2.67
Al (0.5000, 0.5000, 0.0000)  4 Al 2.70
Al (0.5000, 0.5000, 0.5000)  4 Al 2.67
Ag (0.0000, 0.0000, 0.5000)  4 Al 2.67

* density: 3.529 g/cm3
* ΔE_f: -0.2499 eV/atom
* SG: No. 115
* magnetization: 0.0 μB per formula unit

=====

La2CeHo3Se6 | PBE | relaxed

Unit cell a=9.3684 b=9.3684 c=8.4453 alpha=104.43 beta=104.43 gamma=25.38
Closest atoms and distances in Å follow each position.
Positions (direct):
La (0.1654, 0.1654, 0.3314)  6 Se 3.02-3.05
La (0.8346, 0.8346, 0.6686)  6 Se 3.02-3.05
Ce (0.5000, 0.5000, 0.0000)  6 Se 3.00-3.01
Ho (0.1675, 0.1675, 0.8350)  6 Se 2.86-2.88
Ho (0.5000, 0.5000, 0.5000)  6 Se 2.87-2.89
Ho (0.8325, 0.8325, 0.1650)  6 Se 2.86-2.88
Se (0.0054, 0.0054, 0.7428)  3 Ho 2.87-2.89, 2 Ce 3.01, 1 La 3.02
Se (0.3304, 0.3304, 0.9291)  3 Ho 2.86-2.88, 1 Ce 3.00, 2 La 3.03
Se (0.3375, 0.3375, 0.4047)  3 Ho 2.87, 3 La 3.04-3.05
Se (0.6625, 0.6625, 0.5953)  3 Ho 2.87, 3 La 3.04-3.05
Se (0.6696, 0.6696, 0.0709)  3 Ho 2.86-2.88, 1 Ce 3.00, 2 La 3.03
Se (0.9946, 0.9946, 0.2572)  3 Ho 2.87-2.89, 2 Ce 3.01, 1 La 3.02

* density: 7.494 g/cm3
* SG: No. 12
* magnetization: 1.3 μB per formula unit
* E_form (uncorrected): -1.839 eV/atom

=====

SrMoW2 | PBE | relaxed

Unit cell a=2.8465 b=2.8465 c=9.9380 alpha=90.00 beta=90.00 gamma=109.11
Closest atoms and distances in Å follow each position.
Positions (direct):
Sr (0.0000, 0.0000, 0.0000)  4 Sr 2.85
Mo (0.5000, 0.5000, 0.2869)  2 W 2.68, 4 Mo 2.85
W (0.0000, 0.0000, 0.4998)  2 Mo 2.68, 6 W 2.70-2.85
W (0.5000, 0.5000, 0.7148)  6 W 2.70-2.85

* density: 12.030 g/cm3
* ΔE_f: 0.7373 eV/atom
* SG: No. 35
* relative energy among the computed polymorphs: 0.00 eV per formula unit
* magnetization: 0.0 μB per formula unit

=====

GdDyMnAl | PBE | relaxed

Unit cell a=5.0972 b=5.0972 c=5.0972 alpha=60.00 beta=60.00 gamma=60.00
Closest atoms and distances in Å follow each position.
Positions (direct):
Gd (0.0000, 0.0000, 0.0000)  4 Mn 3.12, 4 Al 3.12
Dy (0.5000, 0.5000, 0.5000)  4 Mn 3.12, 4 Al 3.12
Mn (0.7500, 0.7500, 0.7500)  4 Gd 3.12, 4 Dy 3.12
Al (0.2500, 0.2500, 0.2500)  4 Gd 3.12, 4 Dy 3.12

* density: 7.122 g/cm3
* ΔE_f: -0.0486 eV/atom
* SG: No. 216
* magnetization: 10.4 μB per formula unit

=====

LiVRh3 | PBE | relaxed

Unit cell a=4.0796 b=4.0796 c=4.0796 alpha=90.00 beta=90.00 gamma=90.00
Closest atoms and distances in Å follow each position.
Positions (direct):
Li (0.0000, 0.0000, 0.0000)  6 Rh 2.04
V (0.5000, 0.5000, 0.5000)  12 Rh 2.88
Rh (0.0000, 0.0000, 0.5000)  2 Li 2.04
Rh (0.0000, 0.5000, 0.0000)  2 Li 2.04
Rh (0.5000, 0.0000, 0.0000)  2 Li 2.04

* density: 8.966 g/cm3
* ΔE_f: 0.4618 eV/atom
* SG: No. 221
* relative energy among the computed polymorphs: 3.71 eV per formula unit
* magnetization: 0.1 μB per formula unit

=====

YMn2Rh2 | PBE | relaxed

Unit cell a=7.4326 b=7.4326 c=2.7326 alpha=90.00 beta=90.00 gamma=90.00
Closest atoms and distances in Å follow each position.
Positions (direct):
Y (0.0000, 0.0000, 0.0000)  2 Y 2.73, 4 Rh 2.93
Y (0.5000, 0.5000, 0.0000)  2 Y 2.73, 4 Rh 2.93
Mn (0.1696, 0.3304, 0.5000)  6 Rh 2.55-2.61, 2 Mn 2.73
Mn (0.3304, 0.8304, 0.5000)  6 Rh 2.55-2.61, 2 Mn 2.73
Mn (0.6696, 0.1696, 0.5000)  6 Rh 2.55-2.61, 2 Mn 2.73
Mn (0.8304, 0.6696, 0.5000)  6 Rh 2.55-2.61, 2 Mn 2.73
Rh (0.1259, 0.6259, 0.0000)  6 Mn 2.55-2.61, 3 Rh 2.65-2.73
Rh (0.3741, 0.1259, 0.0000)  6 Mn 2.55-2.61, 3 Rh 2.65-2.73
Rh (0.6259, 0.8741, 0.0000)  6 Mn 2.55-2.61, 3 Rh 2.65-2.73
Rh (0.8741, 0.3741, 0.0000)  6 Mn 2.55-2.61, 3 Rh 2.65-2.73

* density: 8.901 g/cm3
* ΔE_f: 0.1041 eV/atom
* SG: No. 127
* relative energy among the computed polymorphs: 1.76 eV per formula unit
* magnetization: 0.0 μB per formula unit